A plane-wave DFT calculation with PBE-GGA was carried out for a relaxed SrVZn2N4 crystal.

a = 5.2857 Å, b = 5.3442 Å, c = 5.3442 Å
α = 91.25°, β = 60.36°, γ = 60.36°
Fractional positions:
Sr  0.0000  0.0000  0.0000
V  0.0000  0.5000  0.5000
Zn  0.5000  0.7500  0.2500
Zn  0.5000  0.2500  0.7500
N  0.6083  0.5535  0.8383
N  0.3917  0.1617  0.4465
N  0.0000  0.4465  0.1617
N  0.0000  0.8383  0.5535

Properties
As for the crystal system: tetragonal. The calculated volume is 13.34 Å³/atom. The total moment comes out at 0.09 μB/atom. Its energy relative to the elements, uncorrected is -0.38 eV per atom. As for the total energy: -49.662 eV per cell.

---

A plane-wave DFT calculation with PBE-GGA was carried out for a relaxed NaPr2Zn crystal.

a = 3.9327 Å, b = 5.4162 Å, c = 5.4162 Å
α = 90.00°, β = 90.00°, γ = 90.00°
Fractional positions:
Pr  0.0000  0.0000  0.5000
Pr  0.0000  0.5000  0.0000
Na  0.5000  0.5000  0.5000
Zn  0.5000  0.0000  0.0000

Properties
For the relative energy among the computed polymorphs, the calculation gives 93 meV per atom. As for the crystal system: tetragonal. The calculated volume is 28.84 Å³/atom. The total moment comes out at 0.00 μB/atom. The calculation puts the formation enthalpy at 0 K at 0.04 eV/atom. As for the total energy: -11.978 eV per cell.

---

A plane-wave DFT calculation with PBE-GGA was carried out for a relaxed Tb2Pm4Pr2Tm crystal.

a = 3.6656 Å, b = 9.6477 Å, c = 9.7186 Å
α = 115.05°, β = 90.00°, γ = 100.95°
Fractional positions:
Tb  0.8529  0.7058  0.3346
Tb  0.1471  0.2942  0.6654
Pm  0.8141  0.6283  0.6662
Pm  0.1859  0.3717  0.3338
Pm  0.5186  0.0372  0.3326
Pm  0.4814  0.9628  0.6674
Pr  0.3351  0.6702  0.0020
Pr  0.6649  0.3298  0.9980
Tm  0.0000  0.0000  0.0000

Properties
As for the crystal system: monoclinic. The calculated volume is 33.83 Å³/atom. The total moment comes out at 0.00 μB/atom. The calculation puts the formation enthalpy at 0 K at 0.01 eV/atom. As for the total energy: -42.219 eV per cell.